Compound: In2AsP
Source: Alexandria
Functional: PBE
Structure: relaxed

a = 3.4343 Å, b = 5.4936 Å, c = 10.0488 Å
α = 90.00°, β = 90.00°, γ = 90.00°
Space group Imm2 (No. 44)
Asymmetric unit:
In  0.0000  0.0000  0.0000 (multiplicity 2)
In  0.0000  0.5000  0.2142 (multiplicity 2)
As  0.0000  0.0000  0.4243 (multiplicity 2)
P  0.0000  0.5000  0.7614 (multiplicity 2)

Raw total energy = -30.166 eV per cell
Calculated formation energy = 11 kJ/mol of atoms
Mass density = 5.878 g/cm³